Density functional theory data (PBE) for a geometry-optimized Li2CoW structure.

a = 2.6671 Å, b = 4.2499 Å, c = 9.4985 Å
α = 90.00°, β = 90.00°, γ = 90.00°
Last column: nearest neighbours and their distance in Å.
Space group Immm (No. 71)
Asymmetric unit:
1 Li 0.0000 0.0000 0.2284 (multiplicity 4)  6 Li 2.54-2.67, 2 Co 2.55
2 Co 0.0000 0.5000 0.5000 (multiplicity 2)  4 W 2.51, 4 Li 2.55, 2 Co 2.67
3 W 0.0000 0.5000 0.0000 (multiplicity 2)  4 Co 2.51, 2 W 2.67

Results
As for the total energy: -5.652 eV/atom. Its crystal system is orthorhombic. The calculation puts the density of states at the Fermi level at 0.84 states/eV per atom. Its energy above the most stable polymorph in this dataset is 43 meV/atom.